No. 1
A geometry-optimized SiSe2I structure, computed with PBE-GGA.

Structure (POSCAR):
```
SiSe2I
1.0
2.3881 1.3788 8.5230
-2.3881 1.3788 8.5230
0.0000 -2.7576 8.5230
Si Se I
1 2 1
direct
0.0000 0.0000 0.0000 Si
0.0826 0.0826 0.0826 Se
0.9174 0.9174 0.9174 Se
0.5000 0.5000 0.5000 I
```

V	42.10	Å³/atom
final energy	-3.095	eV/atom
DOS at the Fermi energy	1.37	states/eV/atom
symmetry	R-3m
formation energy from raw total energies	0.390	eV per atom
E above lowest polymorph	2.40	eV/f.u.

***

No. 2
A geometry-optimized MgNb2SbH structure, computed with PBE-GGA.

Structure (POSCAR):
```
MgNb2SbH
1.0
4.1431 0.0000 0.0000
0.0000 4.1431 0.0000
0.0000 0.0000 4.5828
Mg Nb Sb H
1 2 1 1
direct
0.0000 0.0000 0.0000 Mg
0.0000 0.5000 0.5000 Nb
0.5000 0.0000 0.5000 Nb
0.5000 0.5000 0.0000 Sb
0.0000 0.0000 0.5000 H
```

V	15.73	Å³/atom
final energy	-5.836	eV/atom
DOS at the Fermi energy	0.89	states/eV/atom
symmetry	P4/mmm
E above lowest polymorph	0.00	eV/f.u.

***

No. 3
A geometry-optimized FeW structure, computed with PBE-GGA.

Structure (POSCAR):
```
FeW
1.0
2.7199 0.0000 0.0000
-1.3600 2.3555 0.0000
0.0000 0.0000 8.5178
Fe W
2 2
direct
0.3333 0.6667 0.2500 Fe
0.6667 0.3333 0.7500 Fe
0.0000 0.0000 0.0000 W
0.0000 0.0000 0.5000 W
```

V	13.64	Å³/atom
final energy	-10.330	eV/atom
DOS at the Fermi energy	1.34	states/eV/atom
ΔH_f (0 K)	0.75	eV/f.u.
symmetry	P6_3/mmc